An optimized crystal structure of Ti2HPdPt, computed with PBE-GGA.

a = 4.030 Å, b = 4.030 Å, c = 3.955 Å
α = 90.00°, β = 90.00°, γ = 90.00°
Fractional coordinates of all 5 atoms:
Ti: 0.000 0.500 0.000
Ti: 0.500 0.000 0.000
H: 0.000 0.000 0.000
Pd: 0.500 0.500 0.500
Pt: 0.000 0.000 0.500

Calculated values
- N(E_F) (states/eV per atom) = 1.1021
- volume (Å³/f.u.) = 64.2
- crystal system = tetragonal
- symmetry = No. 123
- total DFT energy (no corrections) (Ry/atom) = -0.4883